one:
The following is a PBE calculation of a relaxed structure of TbTmIrRu, from the Alexandria database.

a = 6.792 Å, b = 6.792 Å, c = 6.792 Å
α = 90.00°, β = 90.00°, γ = 90.00°
Space group F-43m (No. 216)
Asymmetric unit:
Tb (0.000, 0.000, 0.000) (multiplicity 4)
Tm (0.000, 0.000, 0.500) (multiplicity 4)
Ir (0.250, 0.250, 0.750) (multiplicity 4)
Ru (0.250, 0.250, 0.250) (multiplicity 4)

## Properties
Volume   19.58 A^3/atom
Total moment   0.000 μB per atom

two:
The following is a PBE calculation of a relaxed structure of TbTmIrRu, from the Alexandria database.

a = 3.387 Å, b = 4.797 Å, c = 4.819 Å
α = 90.00°, β = 90.00°, γ = 90.00°
Space group Pmmm (No. 47)
Asymmetric unit:
Tb (0.000, 0.000, 0.000) (multiplicity 1)
Tm (0.000, 0.500, 0.500) (multiplicity 1)
Ir (0.500, 0.000, 0.500) (multiplicity 1)
Ru (0.500, 0.500, 0.000) (multiplicity 1)

## Properties
Volume   19.57 A^3/atom
Total moment   0.000 μB per atom

The structure with the most favorable energy is one; the runner-up is 1.3 kJ/mol of atoms above it.

one:
The following is a PBE calculation of a relaxed structure of TcIrRu, from the Alexandria database.

a = 2.713 Å, b = 3.874 Å, c = 8.168 Å
α = 90.00°, β = 90.00°, γ = 90.00°
Space group Imm2 (No. 44)
Asymmetric unit:
Tc (0.000, 0.000, 0.000) (multiplicity 2)
Ir (0.000, 0.000, 0.667) (multiplicity 2)
Ru (0.000, 0.000, 0.335) (multiplicity 2)

## Properties
Volume   14.31 A^3/atom
Total moment   0.000 μB per atom

two:
The following is a PBE calculation of a relaxed structure of TcIrRu, from the Alexandria database.

a = 4.345 Å, b = 4.772 Å, c = 8.241 Å
α = 90.00°, β = 90.00°, γ = 90.00°
Space group Ama2 (No. 40)
Asymmetric unit:
Tc (0.250, 0.166, 0.000) (multiplicity 4)
Ir (0.250, 0.167, 0.332) (multiplicity 4)
Ru (0.250, 0.165, 0.666) (multiplicity 4)

## Properties
Volume   14.24 A^3/atom
Total moment   0.000 μB per atom

three:
The following is a PBE calculation of a relaxed structure of TcIrRu, from the Alexandria database.

a = 2.731 Å, b = 2.731 Å, c = 11.520 Å
α = 90.00°, β = 90.00°, γ = 90.00°
Space group I4mm (No. 107)
Asymmetric unit:
Tc (0.000, 0.000, 0.000) (multiplicity 2)
Ir (0.000, 0.000, 0.666) (multiplicity 2)
Ru (0.000, 0.000, 0.340) (multiplicity 2)

## Properties
Volume   14.32 A^3/atom
Total moment   0.000 μB per atom

The structure with the most favorable energy is two; the runner-up is 11.2 kJ/mol of atoms above it.

one:
The following is a PBE calculation of a relaxed structure of TcIrRu, from the Alexandria database.

a = 2.7276 Å, b = 2.7276 Å, c = 6.6725 Å
α = 90.00°, β = 90.00°, γ = 120.00°
Space group P3m1 (No. 156)
Asymmetric unit:
Tc (0.0000, 0.0000, 0.0000) (multiplicity 1)
Ir (0.6667, 0.3333, 0.3360) (multiplicity 1)
Ru (0.3333, 0.6667, 0.6786) (multiplicity 1)

## Properties
Volume   14.33 A^3/atom
Total moment   0.000 μB per atom

two:
The following is a PBE calculation of a relaxed structure of TcIrRu, from the Alexandria database.

a = 4.3031 Å, b = 4.3031 Å, c = 2.7292 Å
α = 90.00°, β = 90.00°, γ = 120.00°
Space group P-6m2 (No. 187)
Asymmetric unit:
Tc (0.0000, 0.0000, 0.0000) (multiplicity 1)
Ir (0.6667, 0.3333, 0.5000) (multiplicity 1)
Ru (0.3333, 0.6667, 0.0000) (multiplicity 1)

## Properties
Volume   14.59 A^3/atom
Total moment   0.000 μB per atom

three:
The following is a PBE calculation of a relaxed structure of TcIrRu, from the Alexandria database.

a = 5.876 Å, b = 5.876 Å, c = 5.876 Å
α = 90.00°, β = 90.00°, γ = 90.00°
Space group F-43m (No. 216)
Asymmetric unit:
Tc (0.000, 0.000, 0.000) (multiplicity 4)
Ir (0.250, 0.250, 0.250) (multiplicity 4)
Ru (0.250, 0.250, 0.750) (multiplicity 4)

## Properties
Volume   16.91 A^3/atom
Total moment   0.000 μB per atom

The structure with the most favorable energy is one; the runner-up is 12.9 kJ/mol of atoms above it.

one:
The following is a PBE calculation of a relaxed structure of Tc2Ir6Ru, from the Alexandria database.

a = 8.642 Å, b = 3.860 Å, c = 8.209 Å
α = 90.00°, β = 108.57°, γ = 90.00°
Space group C2/m (No. 12)
Asymmetric unit:
Tc (0.166, 0.000, 0.224) (multiplicity 4)
Ir (0.001, 0.500, 0.673) (multiplicity 4)
Ir (0.166, 0.000, 0.892) (multiplicity 4)
Ir (0.169, 0.000, 0.555) (multiplicity 4)
Ru (0.000, 0.500, 0.000) (multiplicity 2)

## Properties
Volume   14.42 A^3/atom
Total moment   0.000 μB per atom

two:
The following is a PBE calculation of a relaxed structure of Tc2Ir6Ru, from the Alexandria database.

a = 11.909 Å, b = 2.728 Å, c = 8.217 Å
α = 90.00°, β = 103.29°, γ = 90.00°
Space group C2/m (No. 12)
Asymmetric unit:
Tc (0.166, 0.000, 0.223) (multiplicity 4)
Ir (0.000, 0.500, 0.329) (multiplicity 4)
Ir (0.166, 0.000, 0.892) (multiplicity 4)
Ir (0.168, 0.000, 0.554) (multiplicity 4)
Ru (0.000, 0.500, 0.000) (multiplicity 2)

## Properties
Volume   14.43 A^3/atom
Total moment   0.000 μB per atom

The structure with the most favorable energy is one; the runner-up is 2.4 kJ/mol of atoms above it.

one:
The following is a PBE calculation of a relaxed structure of TcIr6Ru, from the Alexandria database.

a = 3.865 Å, b = 3.865 Å, c = 7.727 Å
α = 90.00°, β = 90.00°, γ = 90.00°
Space group P4/mmm (No. 123)
Asymmetric unit:
Tc (0.000, 0.000, 0.000) (multiplicity 1)
Ir (0.000, 0.500, 0.249) (multiplicity 4)
Ir (0.500, 0.500, 0.000) (multiplicity 1)
Ir (0.500, 0.500, 0.500) (multiplicity 1)
Ru (0.000, 0.000, 0.500) (multiplicity 1)

## Properties
Volume   14.43 A^3/atom
Total moment   0.000 μB per atom

two:
The following is a PBE calculation of a relaxed structure of TcIr6Ru, from the Alexandria database.

a = 6.9721 Å, b = 6.9721 Å, c = 9.8122 Å
α = 90.00°, β = 90.00°, γ = 120.00°
Space group R-3m (No. 166, hexagonal axes)
Asymmetric unit:
Tc (0.0000, 0.0000, 0.0000) (multiplicity 3)
Ir (0.0787, 0.5393, 0.3813) (multiplicity 18)
Ru (0.0000, 0.0000, 0.5000) (multiplicity 3)

## Properties
Volume   17.21 A^3/atom
Total moment   0.266 μB per atom

The structure with the most favorable energy is one; the runner-up is 93.4 kJ/mol of atoms above it.

one:
The following is a PBE calculation of a relaxed structure of TcIr4Ru2, from the Alexandria database.

a = 2.693 Å, b = 29.973 Å, c = 2.685 Å
α = 90.00°, β = 90.00°, γ = 90.00°
Space group Cmmm (No. 65)
Asymmetric unit:
Tc (0.000, 0.000, 0.000) (multiplicity 2)
Ir (0.000, 0.359, 0.000) (multiplicity 4)
Ir (0.000, 0.437, 0.500) (multiplicity 4)
Ru (0.000, 0.285, 0.500) (multiplicity 4)

## Properties
Volume   15.48 A^3/atom
Total moment   0.000 μB per atom

two:
The following is a PBE calculation of a relaxed structure of TcIr4Ru2, from the Alexandria database.

a = 4.326 Å, b = 4.677 Å, c = 10.746 Å
α = 90.00°, β = 90.00°, γ = 90.00°
Space group Pmc2_1 (No. 26)
Asymmetric unit:
Tc (0.000, 0.163, 0.000) (multiplicity 2)
Ir (0.000, 0.167, 0.249) (multiplicity 2)
Ir (0.000, 0.334, 0.621) (multiplicity 2)
Ir (0.500, 0.001, 0.876) (multiplicity 2)
Ir (0.500, 0.498, 0.991) (multiplicity 2)
Ru (0.500, 0.009, 0.627) (multiplicity 2)
Ru (0.500, 0.496, 0.258) (multiplicity 2)

## Properties
Volume   15.53 A^3/atom
Total moment   0.000 μB per atom

The structure with the most favorable energy is two; the runner-up is 15.8 kJ/mol of atoms above it.

one:
The following is a PBE calculation of a relaxed structure of TcIr6Ru5, from the Alexandria database.

a = 3.843 Å, b = 7.715 Å, c = 11.530 Å
α = 90.00°, β = 90.00°, γ = 90.00°
Space group Immm (No. 71)
Asymmetric unit:
Tc (0.000, 0.000, 0.000) (multiplicity 2)
Ir (0.000, 0.250, 0.167) (multiplicity 8)
Ir (0.000, 0.250, 0.500) (multiplicity 4)
Ru (0.000, 0.000, 0.334) (multiplicity 4)
Ru (0.000, 0.500, 0.000) (multiplicity 2)
Ru (0.000, 0.500, 0.335) (multiplicity 4)

## Properties
Volume   14.24 A^3/atom
Total moment   0.000 μB per atom

two:
The following is a PBE calculation of a relaxed structure of TcIr6Ru5, from the Alexandria database.

a = 5.797 Å, b = 13.853 Å, c = 5.304 Å
α = 90.00°, β = 118.17°, γ = 90.00°
Space group C2/m (No. 12)
Asymmetric unit:
Tc (0.000, 0.000, 0.000) (multiplicity 2)
Ir (0.004, 0.167, 0.254) (multiplicity 8)
Ir (0.021, 0.500, 0.761) (multiplicity 4)
Ru (0.000, 0.000, 0.500) (multiplicity 2)
Ru (0.000, 0.332, 0.000) (multiplicity 4)
Ru (0.000, 0.334, 0.500) (multiplicity 4)

## Properties
Volume   15.65 A^3/atom
Total moment   0.000 μB per atom

The structure with the most favorable energy is one; the runner-up is 69.8 kJ/mol of atoms above it.

one:
The following is a PBE calculation of a relaxed structure of TcIr4Ru, from the Alexandria database.

a = 7.198 Å, b = 7.198 Å, c = 7.198 Å
α = 90.00°, β = 90.00°, γ = 90.00°
Space group F-43m (No. 216)
Asymmetric unit:
Tc (0.000, 0.000, 0.000) (multiplicity 4)
Ir (0.125, 0.125, 0.625) (multiplicity 16)
Ru (0.250, 0.250, 0.250) (multiplicity 4)

## Properties
Volume   15.54 A^3/atom
Total moment   0.038 μB per atom

two:
The following is a PBE calculation of a relaxed structure of TcIr4Ru, from the Alexandria database.

a = 2.727 Å, b = 3.860 Å, c = 8.204 Å
α = 90.00°, β = 90.00°, γ = 90.00°
Space group Pmmm (No. 47)
Asymmetric unit:
Tc (0.000, 0.000, 0.000) (multiplicity 1)
Ir (0.000, 0.000, 0.334) (multiplicity 2)
Ir (0.500, 0.500, 0.165) (multiplicity 2)
Ru (0.500, 0.500, 0.500) (multiplicity 1)

## Properties
Volume   14.39 A^3/atom
Total moment   0.000 μB per atom

The structure with the most favorable energy is two; the runner-up is 60.4 kJ/mol of atoms above it.

one:
The following is a PBE calculation of a relaxed structure of Te2IrRu, from the Alexandria database.

a = 4.0764 Å, b = 4.0764 Å, c = 21.1279 Å
α = 90.00°, β = 90.00°, γ = 120.00°
Space group R3m (No. 160, hexagonal axes)
Asymmetric unit:
Te (0.0000, 0.0000, 0.0000) (multiplicity 3)
Te (0.0000, 0.0000, 0.1685) (multiplicity 3)
Ir (0.0000, 0.0000, 0.7119) (multiplicity 3)
Ru (0.0000, 0.0000, 0.4595) (multiplicity 3)

## Properties
Volume   25.34 A^3/atom
Total moment   0.000 μB per atom

two:
The following is a PBE calculation of a relaxed structure of Te2IrRu, from the Alexandria database.

a = 3.5077 Å, b = 3.5077 Å, c = 22.2571 Å
α = 90.00°, β = 90.00°, γ = 120.00°
Space group R-3m (No. 166, hexagonal axes)
Asymmetric unit:
Te (0.0000, 0.0000, 0.2481) (multiplicity 6)
Ir (0.0000, 0.0000, 0.5000) (multiplicity 3)
Ru (0.0000, 0.0000, 0.0000) (multiplicity 3)

## Properties
Volume   19.76 A^3/atom
Total moment   0.000 μB per atom

three:
The following is a PBE calculation of a relaxed structure of Te2IrRu, from the Alexandria database.

a = 3.108 Å, b = 4.569 Å, c = 5.447 Å
α = 90.00°, β = 90.91°, γ = 90.00°
Space group P2/m (No. 10)
Asymmetric unit:
Te (0.242, 0.000, 0.249) (multiplicity 2)
Ir (0.500, 0.500, 0.000) (multiplicity 1)
Ru (0.000, 0.500, 0.500) (multiplicity 1)

## Properties
Volume   19.34 A^3/atom
Total moment   0.000 μB per atom

four:
The following is a PBE calculation of a relaxed structure of Te2IrRu, from the Alexandria database.

a = 6.776 Å, b = 6.776 Å, c = 6.776 Å
α = 90.00°, β = 90.00°, γ = 90.00°
Space group F-43m (No. 216)
Asymmetric unit:
Te (0.000, 0.000, 0.000) (multiplicity 4)
Te (0.250, 0.250, 0.250) (multiplicity 4)
Ir (0.000, 0.000, 0.500) (multiplicity 4)
Ru (0.250, 0.250, 0.750) (multiplicity 4)

## Properties
Volume   19.44 A^3/atom
Total moment   0.002 μB per atom

The structure with the most favorable energy is one; the runner-up is 11.1 kJ/mol of atoms above it.

one:
The following is a PBE calculation of a relaxed structure of Te2IrRu, from the Alexandria database.

a = 5.898 Å, b = 5.898 Å, c = 11.837 Å
α = 90.00°, β = 90.00°, γ = 90.00°
Space group I-42d (No. 122)
Asymmetric unit:
Te (0.247, 0.250, 0.125) (multiplicity 8)
Ir (0.000, 0.000, 0.500) (multiplicity 4)
Ru (0.000, 0.000, 0.000) (multiplicity 4)

## Properties
Volume   25.73 A^3/atom
Total moment   0.000 μB per atom

two:
The following is a PBE calculation of a relaxed structure of Te2IrRu, from the Alexandria database.

a = 8.089 Å, b = 3.498 Å, c = 6.737 Å
α = 90.00°, β = 95.88°, γ = 90.00°
Space group Cm (No. 8)
Asymmetric unit:
Te (0.000, 0.000, 0.000) (multiplicity 2)
Te (0.084, 0.000, 0.490) (multiplicity 2)
Ir (0.393, 0.000, 0.623) (multiplicity 2)
Ru (0.193, 0.500, 0.864) (multiplicity 2)

## Properties
Volume   23.70 A^3/atom
Total moment   0.000 μB per atom

The structure with the most favorable energy is two; the runner-up is 3.1 kJ/mol of atoms above it.

one:
The following is a PBE calculation of a relaxed structure of Te2IrRu, from the Alexandria database.

a = 3.173 Å, b = 5.348 Å, c = 9.107 Å
α = 90.00°, β = 90.00°, γ = 90.00°
Space group Cmmm (No. 65)
Asymmetric unit:
Te (0.000, 0.000, 0.245) (multiplicity 4)
Ir (0.000, 0.500, 0.500) (multiplicity 2)
Ru (0.000, 0.500, 0.000) (multiplicity 2)

## Properties
Volume   19.32 A^3/atom
Total moment   0.000 μB per atom

two:
The following is a PBE calculation of a relaxed structure of Te2IrRu, from the Alexandria database.

a = 8.100 Å, b = 3.427 Å, c = 5.751 Å
α = 90.00°, β = 104.56°, γ = 90.00°
Space group C2/m (No. 12)
Asymmetric unit:
Te (0.249, 0.000, 0.247) (multiplicity 4)
Ir (0.000, 0.000, 0.500) (multiplicity 2)
Ru (0.000, 0.500, 0.000) (multiplicity 2)

## Properties
Volume   19.31 A^3/atom
Total moment   0.000 μB per atom

The structure with the most favorable energy is two; the runner-up is 37.1 kJ/mol of atoms above it.

one:
The following is a PBE calculation of a relaxed structure of TeIrRu, from the Alexandria database.

a = 3.027 Å, b = 3.027 Å, c = 11.285 Å
α = 90.00°, β = 90.00°, γ = 90.00°
Space group I4mm (No. 107)
Asymmetric unit:
Te (0.000, 0.000, 0.000) (multiplicity 2)
Ir (0.000, 0.000, 0.314) (multiplicity 2)
Ru (0.000, 0.000, 0.665) (multiplicity 2)

## Properties
Volume   17.23 A^3/atom
Total moment   0.000 μB per atom

two:
The following is a PBE calculation of a relaxed structure of TeIrRu, from the Alexandria database.

a = 3.0865 Å, b = 3.0865 Å, c = 6.2602 Å
α = 90.00°, β = 90.00°, γ = 120.00°
Space group P3m1 (No. 156)
Asymmetric unit:
Te (0.0000, 0.0000, 0.0000) (multiplicity 1)
Ir (0.6667, 0.3333, 0.3426) (multiplicity 1)
Ru (0.3333, 0.6667, 0.6776) (multiplicity 1)

## Properties
Volume   17.22 A^3/atom
Total moment   0.000 μB per atom

The structure with the most favorable energy is one; the runner-up is 3.9 kJ/mol of atoms above it.